First-principles (PBE) data for crystalline Na2TmGaCl6 at its relaxed geometry, as listed in the Alexandria database.

a b c (Å): 7.6506 7.6506 7.6506
angles (deg): 55.26 55.26 55.26
With the nearest neighbours (Å) after each atom.
Sites, in units of the cell vectors:
Na (0.0000, 0.0000, 0.0000)  6 Cl 2.84-2.97
Na (0.4868, 0.4868, 0.4868)  6 Cl 2.80-2.90
Tm (0.8030, 0.8030, 0.8030)  6 Cl 2.61-2.64
Ga (0.2879, 0.2879, 0.2879)  6 Cl 2.91-3.20
Cl (0.0540, 0.4284, 0.7160)  1 Tm 2.61, 2 Na 2.84-2.90
Cl (0.1852, 0.8732, 0.6091)  1 Tm 2.64, 1 Na 2.80, 1 Ga 2.91
Cl (0.4284, 0.7160, 0.0540)  1 Tm 2.61, 2 Na 2.84-2.90
Cl (0.6091, 0.1852, 0.8732)  1 Tm 2.64, 1 Na 2.80, 1 Ga 2.91
Cl (0.7160, 0.0540, 0.4284)  1 Tm 2.61, 2 Na 2.84-2.90
Cl (0.8732, 0.6091, 0.1852)  1 Tm 2.64, 1 Na 2.80, 1 Ga 2.91

Properties
Energy   -3.91 eV/atom
Calculated density   2931 kg/m³
N(E_F)   0.00 states/eV per cell
Total magnetization   0.0 μB per formula unit
Formation energy from raw total energies   -1.784 eV/atom

First-principles (PBE) data for crystalline NaTmGa2Cl6 at its relaxed geometry, as listed in the Alexandria database.

a b c (Å): 7.0444 7.6661 12.3102
angles (deg): 90.00 123.18 90.00
With the nearest neighbours (Å) after each atom.
Sites, in units of the cell vectors:
Na (0.0000, 0.0000, 0.0000)  6 Cl 2.83-2.89
Na (0.0000, 0.5000, 0.5000)  6 Cl 2.83-2.89
Tm (0.5000, 0.0000, 0.5000)  6 Cl 2.61-2.62
Tm (0.5000, 0.5000, 0.0000)  6 Cl 2.61-2.62
Ga (0.2043, 0.0803, 0.7208)  6 Cl 2.98-3.32
Ga (0.2043, 0.4197, 0.2208)  6 Cl 2.98-3.32
Ga (0.7957, 0.5803, 0.7792)  6 Cl 2.98-3.32
Ga (0.7957, 0.9197, 0.2792)  6 Cl 2.98-3.32
Cl (0.1500, 0.1782, 0.4595)  1 Tm 2.62, 1 Na 2.83
Cl (0.1500, 0.3218, 0.9595)  1 Tm 2.62, 1 Na 2.83
Cl (0.2499, 0.7187, 0.4292)  1 Tm 2.61, 1 Na 2.89
Cl (0.2499, 0.7813, 0.9292)  1 Tm 2.61, 1 Na 2.89
Cl (0.3796, 0.0492, 0.2599)  1 Tm 2.62, 1 Na 2.86
Cl (0.3796, 0.4508, 0.7599)  1 Tm 2.62, 1 Na 2.86
Cl (0.6204, 0.5492, 0.2401)  1 Tm 2.62, 1 Na 2.86
Cl (0.6204, 0.9508, 0.7401)  1 Tm 2.62, 1 Na 2.86
Cl (0.7501, 0.2187, 0.0708)  1 Tm 2.61, 1 Na 2.89
Cl (0.7501, 0.2813, 0.5708)  1 Tm 2.61, 1 Na 2.89
Cl (0.8500, 0.6782, 0.0405)  1 Tm 2.62, 1 Na 2.83
Cl (0.8500, 0.8218, 0.5405)  1 Tm 2.62, 1 Na 2.83

Properties
Energy   -3.86 eV/atom
Calculated density   3248 kg/m³
N(E_F)   0.00 states/eV per cell
Total magnetization   0.0 μB per formula unit
Formation energy from raw total energies   -1.564 eV/atom

First-principles (PBE) data for crystalline Na2VGaCl6 at its relaxed geometry, as listed in the Alexandria database.

a b c (Å): 7.3752 7.3752 7.3752
angles (deg): 55.76 55.76 55.76
With the nearest neighbours (Å) after each atom.
Sites, in units of the cell vectors:
Na (0.0000, 0.0000, 0.0000)  6 Cl 2.79-2.87
Na (0.4830, 0.4830, 0.4830)  6 Cl 2.82-2.94
V (0.6815, 0.6815, 0.6815)  6 Cl 2.39-2.43
Ga (0.1979, 0.1979, 0.1979)  6 Cl 2.83-3.16
Cl (0.0313, 0.4551, 0.7716)  1 V 2.39
Cl (0.3239, 0.8822, 0.6002)  1 V 2.43
Cl (0.4551, 0.7716, 0.0313)  1 V 2.39
Cl (0.6002, 0.3239, 0.8822)  1 V 2.43
Cl (0.7716, 0.0313, 0.4551)  1 V 2.39
Cl (0.8822, 0.6002, 0.3239)  1 V 2.43

Properties
Energy   -3.92 eV/atom
Calculated density   2462 kg/m³
N(E_F)   9.73 states/eV per cell
Total magnetization   2.0 μB per formula unit
Formation energy from raw total energies   -1.334 eV/atom

First-principles (PBE) data for crystalline NaGaW2Cl at its relaxed geometry, as listed in the Alexandria database.

a b c (Å): 4.4151 4.4151 5.4954
angles (deg): 90.00 90.00 90.00
With the nearest neighbours (Å) after each atom.
Sites, in units of the cell vectors:
Na (0.0000, 0.0000, 0.0000)  4 Ga 3.12
Ga (0.5000, 0.5000, 0.0000)  2 Cl 2.75
W (0.0000, 0.5000, 0.5000)  2 Cl 2.21
W (0.5000, 0.0000, 0.5000)  2 Cl 2.21
Cl (0.5000, 0.5000, 0.5000)  4 W 2.21

Properties
Energy   -4.96 eV/atom
Calculated density   7686 kg/m³
N(E_F)   4.19 states/eV per cell
Total magnetization   0.0 μB per formula unit
Formation energy from raw total energies   1.457 eV/atom

What is the formula in the fourth record?
NaGaW2Cl

Look up the N(E_F) of the first one.
0.00 states/eV per cell

What did the fourth record say?
First-principles (PBE) data for crystalline NaGaW2Cl at its relaxed geometry, as listed in the Alexandria database.

a b c (Å): 4.4151 4.4151 5.4954
angles (deg): 90.00 90.00 90.00
With the nearest neighbours (Å) after each atom.
Sites, in units of the cell vectors:
Na (0.0000, 0.0000, 0.0000)  4 Ga 3.12
Ga (0.5000, 0.5000, 0.0000)  2 Cl 2.75
W (0.0000, 0.5000, 0.5000)  2 Cl 2.21
W (0.5000, 0.0000, 0.5000)  2 Cl 2.21
Cl (0.5000, 0.5000, 0.5000)  4 W 2.21

Properties
Energy   -4.96 eV/atom
Calculated density   7686 kg/m³
N(E_F)   4.19 states/eV per cell
Total magnetization   0.0 μB per formula unit
Formation energy from raw total energies   1.457 eV/atom